Entry 1:
## Ca2NdAlO (PBE-GGA)

Data for Ca2NdAlO after structural relaxation.

## Properties
The value obtained for the energy relative to the elements, uncorrected is -1307 meV per atom. Its calculated volume is 23.09 Å³/atom. As for the total magnetization: 0.00 μB per atom.

CIF file:
```
data_Ca2NdAlO
_cell_length_a 4.789
_cell_length_b 4.789
_cell_length_c 5.036
_cell_angle_alpha 90.00
_cell_angle_beta 90.00
_cell_angle_gamma 90.00
_symmetry_space_group_name_H-M 'P 4/m m m'
_symmetry_Int_Tables_number 123
_symmetry_space_group_name_Hall '-P 4 2'
loop_
_atom_site_label
_atom_site_fract_x
_atom_site_fract_y
_atom_site_fract_z
_atom_site_occupancy
Ca1 0.000 0.500 0.000 1
Nd1 0.000 0.000 0.500 1
Al1 0.500 0.500 0.500 1
O1 0.000 0.000 0.000 1
```



Entry 2:
## Ba2NaH6Au2 (PBE-GGA)

Data for Ba2NaH6Au2 after structural relaxation.

## Properties
The total energy comes out at -71.4 eV for the cell shown. Its calculated volume is 17.01 Å³/atom. As for the total magnetization: 0.00 μB per atom.

CIF file:
```
data_Ba2NaH6Au2
_cell_length_a 10.968
_cell_length_b 5.417
_cell_length_c 7.260
_cell_angle_alpha 90.00
_cell_angle_beta 119.81
_cell_angle_gamma 90.00
_symmetry_space_group_name_H-M 'C 1 2/m 1'
_symmetry_Int_Tables_number 12
_symmetry_space_group_name_Hall '-C 2y'
loop_
_atom_site_label
_atom_site_fract_x
_atom_site_fract_y
_atom_site_fract_z
_atom_site_occupancy
Ba1 0.204 0.000 0.206 1
Na1 0.000 0.000 0.500 1
H1 0.079 0.239 0.821 1
H2 0.210 0.500 0.363 1
Au1 0.029 0.500 0.249 1
```



Entry 3:
## Sc2TcIr (PBE-GGA)

Data for Sc2TcIr after structural relaxation.

## Properties
For the calculated formation energy, the calculation gives -0.311 eV per atom. Its calculated volume is 17.14 Å³/atom. As for the total magnetization: 0.00 μB per atom.

CIF file:
```
data_Sc2TcIr
_cell_length_a 2.911
_cell_length_b 4.597
_cell_length_c 5.264
_cell_angle_alpha 90.00
_cell_angle_beta 103.31
_cell_angle_gamma 90.00
_symmetry_space_group_name_H-M 'P 1 m 1'
_symmetry_Int_Tables_number 6
_symmetry_space_group_name_Hall 'P -2y'
loop_
_atom_site_label
_atom_site_fract_x
_atom_site_fract_y
_atom_site_fract_z
_atom_site_occupancy
Sc1 0.000 0.000 0.000 1
Sc2 0.253 0.500 0.705 1
Tc1 0.736 0.500 0.220 1
Ir1 0.541 0.000 0.487 1
```



Entry 4:
## NdHo2Ag (PBE-GGA)

Data for NdHo2Ag after structural relaxation.

## Properties
For the calculated formation energy, the calculation gives -0.137 eV per atom. The value obtained for the offset from the most stable computed form is 0.0 meV/atom. Its calculated volume is 28.60 Å³/atom. As for the total magnetization: 0.00 μB per atom.

CIF file:
```
data_NdHo2Ag
_cell_length_a 3.608
_cell_length_b 3.608
_cell_length_c 8.786
_cell_angle_alpha 90.00
_cell_angle_beta 90.00
_cell_angle_gamma 90.00
_symmetry_space_group_name_H-M 'P 4/m m m'
_symmetry_Int_Tables_number 123
_symmetry_space_group_name_Hall '-P 4 2'
loop_
_atom_site_label
_atom_site_fract_x
_atom_site_fract_y
_atom_site_fract_z
_atom_site_occupancy
Nd1 0.000 0.000 0.000 1
Ho1 0.500 0.500 0.293 1
Ag1 0.000 0.000 0.500 1
```



Entry 5:
## PmYLuTl (PBE-GGA)

Data for PmYLuTl after structural relaxation.

## Properties
For the calculated formation energy, the calculation gives -0.066 eV per atom. Its calculated volume is 29.24 Å³/atom. As for the total magnetization: 0.26 μB per atom.

CIF file:
```
data_PmYLuTl
_cell_length_a 7.763
_cell_length_b 7.763
_cell_length_c 7.763
_cell_angle_alpha 90.00
_cell_angle_beta 90.00
_cell_angle_gamma 90.00
_symmetry_space_group_name_H-M 'F -4 3 m'
_symmetry_Int_Tables_number 216
_symmetry_space_group_name_Hall 'F -4 2 3'
loop_
_atom_site_label
_atom_site_fract_x
_atom_site_fract_y
_atom_site_fract_z
_atom_site_occupancy
Pm1 0.000 0.000 0.000 1
Y1 0.000 0.000 0.500 1
Lu1 0.250 0.250 0.250 1
Tl1 0.250 0.250 0.750 1
```



Entry 6:
## VIn3S (PBE-GGA)

Data for VIn3S after structural relaxation.

## Properties
The value obtained for the energy relative to the elements, uncorrected is 741 meV per atom. The value obtained for the offset from the most stable computed form is 133.2 meV/atom. Its calculated volume is 28.69 Å³/atom. As for the total magnetization: 0.72 μB per atom.

CIF file:
```
data_VIn3S
_cell_length_a 5.235
_cell_length_b 5.235
_cell_length_c 5.235
_cell_angle_alpha 90.00
_cell_angle_beta 90.00
_cell_angle_gamma 90.00
_symmetry_space_group_name_H-M 'P m -3 m'
_symmetry_Int_Tables_number 221
_symmetry_space_group_name_Hall '-P 4 2 3'
loop_
_atom_site_label
_atom_site_fract_x
_atom_site_fract_y
_atom_site_fract_z
_atom_site_occupancy
V1 0.000 0.000 0.000 1
In1 0.000 0.500 0.500 1
S1 0.500 0.500 0.500 1
```



Entry 7:
## Pr6IrPb (PBE-GGA)

Data for Pr6IrPb after structural relaxation.

## Properties
For the calculated formation energy, the calculation gives -0.133 eV per atom. Its calculated volume is 37.78 Å³/atom. As for the total magnetization: 0.00 μB per atom.

CIF file:
```
data_Pr6IrPb
_cell_length_a 7.111
_cell_length_b 7.140
_cell_length_c 7.982
_cell_angle_alpha 90.31
_cell_angle_beta 116.12
_cell_angle_gamma 119.84
_symmetry_space_group_name_H-M 'P -1'
_symmetry_Int_Tables_number 2
_symmetry_space_group_name_Hall '-P 1'
loop_
_atom_site_label
_atom_site_fract_x
_atom_site_fract_y
_atom_site_fract_z
_atom_site_occupancy
Pr1 0.042 0.081 0.261 1
Pr2 0.300 0.719 0.261 1
Pr3 0.317 0.537 0.740 1
Ir1 0.500 0.500 0.500 1
Pb1 0.500 0.000 0.000 1
```



Entry 8:
## MgInAg2Te4 (PBE-GGA)

Data for MgInAg2Te4 after structural relaxation.

## Properties
The value obtained for the energy relative to the elements, uncorrected is -325 meV per atom. Its calculated volume is 34.07 Å³/atom. As for the total magnetization: 0.00 μB per atom.

CIF file:
```
data_MgInAg2Te4
_cell_length_a 6.495
_cell_length_b 6.495
_cell_length_c 12.925
_cell_angle_alpha 90.00
_cell_angle_beta 90.00
_cell_angle_gamma 90.00
_symmetry_space_group_name_H-M 'I -4'
_symmetry_Int_Tables_number 82
_symmetry_space_group_name_Hall 'I -4'
loop_
_atom_site_label
_atom_site_fract_x
_atom_site_fract_y
_atom_site_fract_z
_atom_site_occupancy
Mg1 0.000 0.000 0.000 1
In1 0.000 0.500 0.250 1
Ag1 0.000 0.000 0.500 1
Ag2 0.000 0.500 0.750 1
Te1 0.244 0.749 0.624 1
```



Entry 9:
## PaBiI2 (PBE-GGA)

Data for PaBiI2 after structural relaxation.

## Properties
The value obtained for the energy relative to the elements, uncorrected is -319 meV per atom. Its calculated volume is 37.31 Å³/atom. As for the total magnetization: 0.00 μB per atom.

CIF file:
```
data_PaBiI2
_cell_length_a 3.6518
_cell_length_b 3.6518
_cell_length_c 38.7701
_cell_angle_alpha 90.00
_cell_angle_beta 90.00
_cell_angle_gamma 120.00
_symmetry_space_group_name_H-M 'R -3 m'
_symmetry_Int_Tables_number 166
_symmetry_space_group_name_Hall '-R 3 2"'
loop_
_atom_site_label
_atom_site_fract_x
_atom_site_fract_y
_atom_site_fract_z
_atom_site_occupancy
Pa1 0.0000 0.0000 0.0000 1
Bi1 0.0000 0.0000 0.5000 1
I1 0.0000 0.0000 0.3924 1
```



Entry 10:
## Zr3SnRu4 (PBE-GGA)

Data for Zr3SnRu4 after structural relaxation.

## Properties
For the calculated formation energy, the calculation gives -0.611 eV per atom. Its calculated volume is 17.37 Å³/atom. As for the total magnetization: 0.00 μB per atom.

CIF file:
```
data_Zr3SnRu4
_cell_length_a 4.6058
_cell_length_b 4.6058
_cell_length_c 22.6873
_cell_angle_alpha 90.00
_cell_angle_beta 90.00
_cell_angle_gamma 120.00
_symmetry_space_group_name_H-M 'R -3 m'
_symmetry_Int_Tables_number 166
_symmetry_space_group_name_Hall '-R 3 2"'
loop_
_atom_site_label
_atom_site_fract_x
_atom_site_fract_y
_atom_site_fract_z
_atom_site_occupancy
Zr1 0.0000 0.0000 0.0000 1
Zr2 0.0000 0.0000 0.2473 1
Sn1 0.0000 0.0000 0.5000 1
Ru1 0.0000 0.0000 0.1226 1
Ru2 0.0000 0.0000 0.3735 1
```



Entry 11:
## Pr2ZnSn3 (PBE-GGA)

Data for Pr2ZnSn3 after structural relaxation.

## Properties
For the calculated formation energy, the calculation gives -0.520 eV per atom. Its calculated volume is 27.25 Å³/atom. As for the total magnetization: 0.00 μB per atom.

CIF file:
```
data_Pr2ZnSn3
_cell_length_a 4.267
_cell_length_b 4.705
_cell_length_c 8.143
_cell_angle_alpha 90.00
_cell_angle_beta 90.00
_cell_angle_gamma 90.00
_symmetry_space_group_name_H-M 'P m m 2'
_symmetry_Int_Tables_number 25
_symmetry_space_group_name_Hall 'P 2 -2'
loop_
_atom_site_label
_atom_site_fract_x
_atom_site_fract_y
_atom_site_fract_z
_atom_site_occupancy
Pr1 0.000 0.000 0.000 1
Pr2 0.000 0.500 0.497 1
Zn1 0.500 0.500 0.820 1
Sn1 0.500 0.000 0.337 1
Sn2 0.500 0.000 0.685 1
Sn3 0.500 0.500 0.142 1
```



Entry 12:
## ZrAlTc2 (PBE-GGA)

Data for ZrAlTc2 after structural relaxation.

## Properties
For the calculated formation energy, the calculation gives -0.291 eV per atom. Its calculated volume is 16.33 Å³/atom. As for the total magnetization: 0.00 μB per atom.

CIF file:
```
data_ZrAlTc2
_cell_length_a 3.302
_cell_length_b 3.302
_cell_length_c 5.990
_cell_angle_alpha 90.00
_cell_angle_beta 90.00
_cell_angle_gamma 90.00
_symmetry_space_group_name_H-M 'P 4/m m m'
_symmetry_Int_Tables_number 123
_symmetry_space_group_name_Hall '-P 4 2'
loop_
_atom_site_label
_atom_site_fract_x
_atom_site_fract_y
_atom_site_fract_z
_atom_site_occupancy
Zr1 0.000 0.000 0.000 1
Al1 0.000 0.000 0.500 1
Tc1 0.500 0.500 0.279 1
```



Entry 13:
## Er8MgSc2 (PBE-GGA)

Data for Er8MgSc2 after structural relaxation.

## Properties
For the calculated formation energy, the calculation gives 0.150 eV per atom. The value obtained for the offset from the most stable computed form is 108.2 meV/atom. Its calculated volume is 29.89 Å³/atom. As for the total magnetization: 0.00 μB per atom.

CIF file:
```
data_Er8MgSc2
_cell_length_a 9.994
_cell_length_b 12.632
_cell_length_c 5.208
_cell_angle_alpha 90.00
_cell_angle_beta 90.00
_cell_angle_gamma 90.00
_symmetry_space_group_name_H-M 'C m m m'
_symmetry_Int_Tables_number 65
_symmetry_space_group_name_Hall '-C 2 2'
loop_
_atom_site_label
_atom_site_fract_x
_atom_site_fract_y
_atom_site_fract_z
_atom_site_occupancy
Er1 0.000 0.242 0.000 1
Er2 0.164 0.000 0.000 1
Er3 0.167 0.362 0.500 1
Mg1 0.000 0.500 0.000 1
Sc1 0.000 0.118 0.500 1
```



Entry 14:
## Sr2Y2C (PBE-GGA)

Data for Sr2Y2C after structural relaxation.

## Properties
For the calculated formation energy, the calculation gives 0.934 eV per atom. The value obtained for the offset from the most stable computed form is 0.0 meV/atom. Its calculated volume is 34.50 Å³/atom. As for the total magnetization: 0.23 μB per atom.

CIF file:
```
data_Sr2Y2C
_cell_length_a 7.160
_cell_length_b 7.160
_cell_length_c 6.731
_cell_angle_alpha 90.00
_cell_angle_beta 90.00
_cell_angle_gamma 90.00
_symmetry_space_group_name_H-M 'P 4/m b m'
_symmetry_Int_Tables_number 127
_symmetry_space_group_name_Hall '-P 4 2ab'
loop_
_atom_site_label
_atom_site_fract_x
_atom_site_fract_y
_atom_site_fract_z
_atom_site_occupancy
Sr1 0.183 0.317 0.000 1
Y1 0.162 0.662 0.500 1
C1 0.000 0.000 0.000 1
```



Entry 15:
## CoW2Se (PBE-GGA)

Data for CoW2Se after structural relaxation.

## Properties
The value obtained for the energy relative to the elements, uncorrected is 368 meV per atom. Its calculated volume is 14.41 Å³/atom. As for the total magnetization: 0.00 μB per atom.

CIF file:
```
data_CoW2Se
_cell_length_a 2.968
_cell_length_b 4.453
_cell_length_c 8.726
_cell_angle_alpha 90.00
_cell_angle_beta 90.00
_cell_angle_gamma 90.00
_symmetry_space_group_name_H-M 'I m m 2'
_symmetry_Int_Tables_number 44
_symmetry_space_group_name_Hall 'I 2 -2'
loop_
_atom_site_label
_atom_site_fract_x
_atom_site_fract_y
_atom_site_fract_z
_atom_site_occupancy
Co1 0.000 0.000 0.000 1
W1 0.000 0.000 0.455 1
W2 0.000 0.500 0.244 1
Se1 0.000 0.500 0.714 1
```



Entry 16:
## AsPOsO2 (PBE-GGA)

Data for AsPOsO2 after structural relaxation.

## Properties
The value obtained for the energy relative to the elements, uncorrected is -213 meV per atom. The value obtained for the offset from the most stable computed form is 0.0 meV/atom. Its calculated volume is 15.16 Å³/atom. As for the total magnetization: 0.24 μB per atom.

CIF file:
```
data_AsPOsO2
_cell_length_a 3.742
_cell_length_b 3.742
_cell_length_c 5.415
_cell_angle_alpha 90.00
_cell_angle_beta 90.00
_cell_angle_gamma 90.00
_symmetry_space_group_name_H-M 'P 4/m m m'
_symmetry_Int_Tables_number 123
_symmetry_space_group_name_Hall '-P 4 2'
loop_
_atom_site_label
_atom_site_fract_x
_atom_site_fract_y
_atom_site_fract_z
_atom_site_occupancy
As1 0.000 0.000 0.000 1
P1 0.500 0.500 0.000 1
Os1 0.500 0.500 0.500 1
O1 0.000 0.500 0.500 1
```